1.
A plane-wave DFT calculation with meta-GGA SCAN was carried out for a PBEsol-optimized structure of AlTl2As.

Uncorrected energy in eV per atom: -42.87
Energy of formation from the pure elements in eV per formula unit: 1.17
Space group: P2/m
Density of states at the Fermi level in states/eV/cell: 2.2

a = 3.0238 Å, b = 5.2923 Å, c = 5.8556 Å
α = 90.00°, β = 90.76°, γ = 90.00°
Positions (direct):
Al 0.0000 0.0000 0.0000
Tl 0.2804 0.5000 0.7488
Tl 0.7196 0.5000 0.2512
As 0.0000 0.0000 0.5000

=====

2.
A plane-wave DFT calculation with meta-GGA SCAN was carried out for a PBEsol-optimized structure of MnRePt3.

Uncorrected energy in eV per atom: -59.00
Energy of formation from the pure elements in eV per formula unit: 4.96
Space group: Pm-3m
Density of states at the Fermi level in states/eV/cell: 2.6

a = 4.7609 Å, b = 4.7609 Å, c = 4.7609 Å
α = 90.00°, β = 90.00°, γ = 90.00°
Positions (direct):
Mn 0.0000 0.0000 0.0000
Re 0.5000 0.5000 0.5000
Pt 0.0000 0.5000 0.5000
Pt 0.5000 0.0000 0.5000
Pt 0.5000 0.5000 0.0000

=====

3.
A plane-wave DFT calculation with meta-GGA SCAN was carried out for a PBEsol-optimized structure of KTaCd2.

Uncorrected energy in eV per atom: -33.39
Energy of formation from the pure elements in eV per formula unit: 2.17
Space group: C2/m
Density of states at the Fermi level in states/eV/cell: 4.6

a = 9.6504 Å, b = 2.7807 Å, c = 7.4952 Å
α = 90.00°, β = 93.40°, γ = 90.00°
Positions (direct):
K 0.0000 0.0000 0.0000
K 0.5000 0.5000 0.0000
Ta 0.0000 0.5000 0.5000
Ta 0.5000 0.0000 0.5000
Cd 0.2420 0.0000 0.6841
Cd 0.2580 0.5000 0.3159
Cd 0.7420 0.5000 0.6841
Cd 0.7580 0.0000 0.3159

=====

4.
A plane-wave DFT calculation with meta-GGA SCAN was carried out for a PBEsol-optimized structure of PrAgAu2.

Uncorrected energy in eV per atom: -53.93
Energy of formation from the pure elements in eV per formula unit: -2.70
Space group: Fm-3m
Density of states at the Fermi level in states/eV/cell: 6.4

a = 6.9520 Å, b = 6.9520 Å, c = 6.9520 Å
α = 90.00°, β = 90.00°, γ = 90.00°
Positions (direct):
Pr 0.0000 0.0000 0.0000
Pr 0.0000 0.5000 0.5000
Pr 0.5000 0.0000 0.5000
Pr 0.5000 0.5000 0.0000
Ag 0.0000 0.0000 0.5000
Ag 0.0000 0.5000 0.0000
Ag 0.5000 0.0000 0.0000
Ag 0.5000 0.5000 0.5000
Au 0.2500 0.2500 0.2500
Au 0.2500 0.2500 0.7500
Au 0.2500 0.7500 0.2500
Au 0.2500 0.7500 0.7500
Au 0.7500 0.2500 0.2500
Au 0.7500 0.2500 0.7500
Au 0.7500 0.7500 0.2500
Au 0.7500 0.7500 0.7500

=====

5.
A plane-wave DFT calculation with meta-GGA SCAN was carried out for a PBEsol-optimized structure of NbSnI2O.

Uncorrected energy in eV per atom: -29.48
Space group: P4/mmm
Density of states at the Fermi level in states/eV/cell: 2.3
Raw formation energy in eV per formula unit: 1.4

a = 5.9122 Å, b = 5.9122 Å, c = 3.9544 Å
α = 90.00°, β = 90.00°, γ = 90.00°
Positions (direct):
Nb 0.0000 0.0000 0.0000
Sn 0.5000 0.5000 0.5000
I 0.0000 0.5000 0.5000
I 0.5000 0.0000 0.5000
O 0.5000 0.5000 0.0000

=====

6.
A plane-wave DFT calculation with meta-GGA SCAN was carried out for a PBEsol-optimized structure of NbSbTeI2.

Uncorrected energy in eV per atom: -35.83
Space group: P4/mmm
Density of states at the Fermi level in states/eV/cell: 3.4
Raw formation energy in eV per formula unit: 2.0

a = 5.4002 Å, b = 5.4002 Å, c = 5.4308 Å
α = 90.00°, β = 90.00°, γ = 90.00°
Positions (direct):
Nb 0.0000 0.0000 0.0000
Sb 0.5000 0.5000 0.5000
Te 0.0000 0.0000 0.5000
I 0.0000 0.5000 0.0000
I 0.5000 0.0000 0.0000

=====

7.
A plane-wave DFT calculation with meta-GGA SCAN was carried out for a PBEsol-optimized structure of MnRuW.

Uncorrected energy in eV per atom: -40.48
Energy of formation from the pure elements in eV per formula unit: 1.33
Space group: F-43m
Density of states at the Fermi level in states/eV/cell: 6.0

a = 5.8419 Å, b = 5.8419 Å, c = 5.8419 Å
α = 90.00°, β = 90.00°, γ = 90.00°
Positions (direct):
Mn 0.0000 0.0000 0.0000
Mn 0.0000 0.5000 0.5000
Mn 0.5000 0.0000 0.5000
Mn 0.5000 0.5000 0.0000
Ru 0.2500 0.2500 0.7500
Ru 0.2500 0.7500 0.2500
Ru 0.7500 0.2500 0.2500
Ru 0.7500 0.7500 0.7500
W 0.0000 0.0000 0.5000
W 0.0000 0.5000 0.0000
W 0.5000 0.0000 0.0000
W 0.5000 0.5000 0.5000

=====

8.
A plane-wave DFT calculation with meta-GGA SCAN was carried out for a PBEsol-optimized structure of Ag2SI.

Uncorrected energy in eV per atom: -27.31
Space group: I-42d
Density of states at the Fermi level in states/eV/cell: 11.3
Raw formation energy in eV per formula unit: -0.1

a = 5.9534 Å, b = 5.9534 Å, c = 12.0417 Å
α = 90.00°, β = 90.00°, γ = 90.00°
Positions (direct):
Ag 0.1863 0.2500 0.1250
Ag 0.2500 0.6863 0.3750
Ag 0.2500 0.8137 0.8750
Ag 0.3137 0.2500 0.6250
Ag 0.6863 0.7500 0.6250
Ag 0.7500 0.1863 0.8750
Ag 0.7500 0.3137 0.3750
Ag 0.8137 0.7500 0.1250
S 0.0000 0.0000 0.0000
S 0.0000 0.5000 0.2500
S 0.5000 0.0000 0.7500
S 0.5000 0.5000 0.5000
I 0.0000 0.0000 0.5000
I 0.0000 0.5000 0.7500
I 0.5000 0.0000 0.2500
I 0.5000 0.5000 0.0000

=====

9.
A plane-wave DFT calculation with meta-GGA SCAN was carried out for a PBEsol-optimized structure of LiCa2Sn2.

Uncorrected energy in eV per atom: -19.32
Energy of formation from the pure elements in eV per formula unit: -3.04
Space group: P4/mbm
Density of states at the Fermi level in states/eV/cell: 3.7

a = 7.6882 Å, b = 7.6882 Å, c = 4.6620 Å
α = 90.00°, β = 90.00°, γ = 90.00°
Positions (direct):
Li 0.0000 0.0000 0.0000
Li 0.5000 0.5000 0.0000
Ca 0.1654 0.3346 0.5000
Ca 0.3346 0.8346 0.5000
Ca 0.6654 0.1654 0.5000
Ca 0.8346 0.6654 0.5000
Sn 0.1358 0.6358 0.0000
Sn 0.3642 0.1358 0.0000
Sn 0.6358 0.8642 0.0000
Sn 0.8642 0.3642 0.0000

=====

10.
A plane-wave DFT calculation with meta-GGA SCAN was carried out for a PBEsol-optimized structure of ScPb3.

Uncorrected energy in eV per atom: -60.60
Energy of formation from the pure elements in eV per formula unit: -0.84
Space group: Imm2
Density of states at the Fermi level in states/eV/cell: 5.2

a = 3.5058 Å, b = 10.9376 Å, c = 5.4814 Å
α = 90.00°, β = 90.00°, γ = 90.00°
Positions (direct):
Sc 0.0000 0.0000 0.0000
Sc 0.5000 0.5000 0.5000
Pb 0.0000 0.2618 0.6273
Pb 0.0000 0.5000 0.0215
Pb 0.0000 0.7382 0.6273
Pb 0.5000 0.0000 0.5215
Pb 0.5000 0.2382 0.1273
Pb 0.5000 0.7618 0.1273

=====

11.
A plane-wave DFT calculation with meta-GGA SCAN was carried out for a PBEsol-optimized structure of ScNiPb2W.

Uncorrected energy in eV per atom: -48.56
Energy of formation from the pure elements in eV per formula unit: 8.85
Space group: P4/mmm
Density of states at the Fermi level in states/eV/cell: 4.2

a = 5.3599 Å, b = 5.3599 Å, c = 4.5797 Å
α = 90.00°, β = 90.00°, γ = 90.00°
Positions (direct):
Sc 0.0000 0.0000 0.0000
Ni 0.5000 0.5000 0.5000
Pb 0.0000 0.5000 0.0000
Pb 0.5000 0.0000 0.0000
W 0.0000 0.0000 0.5000

=====

12.
A plane-wave DFT calculation with meta-GGA SCAN was carried out for a PBEsol-optimized structure of ZrRh3.

Uncorrected energy in eV per atom: -33.72
Energy of formation from the pure elements in eV per formula unit: -2.88
Space group: I4/mmm
Density of states at the Fermi level in states/eV/cell: 12.9

a = 3.9161 Å, b = 3.9161 Å, c = 15.5568 Å
α = 90.00°, β = 90.00°, γ = 90.00°
Positions (direct):
Zr 0.0000 0.0000 0.1224
Zr 0.0000 0.0000 0.8776
Zr 0.5000 0.5000 0.3776
Zr 0.5000 0.5000 0.6224
Rh 0.0000 0.0000 0.3730
Rh 0.0000 0.0000 0.6270
Rh 0.0000 0.5000 0.0000
Rh 0.0000 0.5000 0.2500
Rh 0.0000 0.5000 0.5000
Rh 0.0000 0.5000 0.7500
Rh 0.5000 0.0000 0.0000
Rh 0.5000 0.0000 0.2500
Rh 0.5000 0.0000 0.5000
Rh 0.5000 0.0000 0.7500
Rh 0.5000 0.5000 0.1270
Rh 0.5000 0.5000 0.8730

=====

13.
A plane-wave DFT calculation with meta-GGA SCAN was carried out for a PBEsol-optimized structure of TlSi3Pb.

Uncorrected energy in eV per atom: -34.15
Space group: Pm-3m
Density of states at the Fermi level in states/eV/cell: 3.7
Raw formation energy in eV per formula unit: 7.4

a = 5.2941 Å, b = 5.2941 Å, c = 5.2941 Å
α = 90.00°, β = 90.00°, γ = 90.00°
Positions (direct):
Tl 0.0000 0.0000 0.0000
Si 0.0000 0.5000 0.5000
Si 0.5000 0.0000 0.5000
Si 0.5000 0.5000 0.0000
Pb 0.5000 0.5000 0.5000